No. 1
Material: LiMnAsO4
Method: DFT, GGA-PBEsol
State: optimized geometry

CIF file:
```
data_LiMnAsO4
_chemical_formula_sum 'Li4 Mn4 As4 O16'
_cell_length_a 10.6868
_cell_length_b 6.1135
_cell_length_c 4.9195
_cell_angle_alpha 90.00
_cell_angle_beta 90.00
_cell_angle_gamma 90.00
_symmetry_space_group_name_H-M 'P n m a'
_symmetry_Int_Tables_number 62
loop_
_symmetry_equiv_pos_as_xyz
'x,y,z'
'-x,-y,-z'
'-x+1/2,-y,z+1/2'
'x+1/2,y,-z+1/2'
'x+1/2,-y+1/2,-z+1/2'
'-x+1/2,y+1/2,z+1/2'
'-x,y+1/2,-z'
'x,-y+1/2,z'
loop_
_atom_site_label
_atom_site_type_symbol
_atom_site_fract_x
_atom_site_fract_y
_atom_site_fract_z
Li1 Li 0.0000 0.0000 0.0000
Mn1 Mn 0.2240 0.2500 0.4894
As1 As 0.0905 0.7500 0.4318
O1 O 0.0556 0.2500 0.7146
O2 O 0.0936 0.7500 0.7775
O3 O 0.1665 0.5321 0.2782
```

* electronic total energy: -48.5 eV per formula unit

No. 2
Material: LiMoAs2
Method: DFT, GGA-PBEsol
State: optimized geometry

CIF file:
```
data_LiMoAs2
_chemical_formula_sum 'Li2 Mo2 As4'
_cell_length_a 9.1310
_cell_length_b 3.2397
_cell_length_c 4.2852
_cell_angle_alpha 90.00
_cell_angle_beta 102.38
_cell_angle_gamma 90.00
_symmetry_space_group_name_H-M 'C 1 m 1'
_symmetry_Int_Tables_number 8
loop_
_symmetry_equiv_pos_as_xyz
'x,y,z'
'x,-y,z'
'x+1/2,y+1/2,z'
'x+1/2,-y+1/2,z'
loop_
_atom_site_label
_atom_site_type_symbol
_atom_site_fract_x
_atom_site_fract_y
_atom_site_fract_z
Li1 Li 0.0000 0.0000 0.0000
Mo1 Mo 0.2317 0.0000 0.5575
As1 As 0.0152 0.5000 0.5487
As2 As 0.2348 0.5000 0.0794
```

* energy relative to the elements: -0.168 eV/atom
* electronic total energy: -24.6 eV per formula unit

No. 3
Material: LiMoAs2
Method: DFT, GGA-PBEsol
State: optimized geometry

CIF file:
```
data_LiMoAs2
_chemical_formula_sum 'Li3 Mo3 As6'
_cell_length_a 3.2023
_cell_length_b 3.2023
_cell_length_c 22.7715
_cell_angle_alpha 90.00
_cell_angle_beta 90.00
_cell_angle_gamma 120.00
_symmetry_space_group_name_H-M 'R -3 m'
_symmetry_Int_Tables_number 166
_symmetry_space_group_name_Hall '-R 3 2"'
loop_
_atom_site_label
_atom_site_type_symbol
_atom_site_fract_x
_atom_site_fract_y
_atom_site_fract_z
Li1 Li 0.0000 0.0000 0.0000
Mo1 Mo 0.0000 0.0000 0.5000
As1 As 0.0000 0.0000 0.2434
```

* energy relative to the elements: -0.336 eV/atom
* electronic total energy: -25.3 eV per formula unit

No. 4
Material: LiMoAs2
Method: DFT, GGA-PBEsol
State: optimized geometry

CIF file:
```
data_LiMoAs2
_chemical_formula_sum 'Li2 Mo2 As4'
_cell_length_a 4.2088
_cell_length_b 4.2088
_cell_length_c 6.7423
_cell_angle_alpha 90.00
_cell_angle_beta 90.00
_cell_angle_gamma 90.00
_symmetry_space_group_name_H-M 'I 4/m m m'
_symmetry_Int_Tables_number 139
_symmetry_space_group_name_Hall '-I 4 2'
loop_
_atom_site_label
_atom_site_type_symbol
_atom_site_fract_x
_atom_site_fract_y
_atom_site_fract_z
Li1 Li 0.0000 0.0000 0.0000
Mo1 Mo 0.0000 0.0000 0.5000
As1 As 0.0000 0.5000 0.2500
```

* energy relative to the elements: -0.102 eV/atom
* electronic total energy: -24.4 eV per formula unit

No. 5
Material: LiMoAs2
Method: DFT, GGA-PBEsol
State: optimized geometry

CIF file:
```
data_LiMoAs2
_chemical_formula_sum 'Li1 Mo1 As2'
_cell_length_a 3.1339
_cell_length_b 3.1339
_cell_length_c 6.5348
_cell_angle_alpha 90.00
_cell_angle_beta 90.00
_cell_angle_gamma 90.00
_symmetry_space_group_name_H-M 'P 4/m m m'
_symmetry_Int_Tables_number 123
_symmetry_space_group_name_Hall '-P 4 2'
loop_
_atom_site_label
_atom_site_type_symbol
_atom_site_fract_x
_atom_site_fract_y
_atom_site_fract_z
Li1 Li 0.0000 0.0000 0.0000
Mo1 Mo 0.0000 0.0000 0.5000
As1 As 0.5000 0.5000 0.2778
```

* energy relative to the elements: -0.357 eV/atom
* electronic total energy: -25.4 eV per formula unit

No. 6
Material: LiMo2AsO9
Method: DFT, GGA-PBEsol
State: optimized geometry

CIF file:
```
data_LiMo2AsO9
_chemical_formula_sum 'Li2 Mo4 As2 O18'
_cell_length_a 5.4537
_cell_length_b 7.5706
_cell_length_c 8.9129
_cell_angle_alpha 90.00
_cell_angle_beta 90.00
_cell_angle_gamma 90.00
_symmetry_space_group_name_H-M 'P m m n'
_symmetry_Int_Tables_number 59
loop_
_symmetry_equiv_pos_as_xyz
'x,y,z'
'-x,-y,-z'
'-x+1/2,-y+1/2,z'
'x+1/2,y+1/2,-z'
'x+1/2,-y,-z'
'-x+1/2,y,z'
'-x,y+1/2,-z'
'x,-y+1/2,z'
loop_
_atom_site_label
_atom_site_type_symbol
_atom_site_fract_x
_atom_site_fract_y
_atom_site_fract_z
Li1 Li 0.2500 0.2500 0.1087
Mo1 Mo 0.2500 0.0406 0.7615
As1 As 0.2500 0.7500 0.4572
O1 O 0.0059 0.5686 0.8339
O2 O 0.0098 0.2500 0.6475
O3 O 0.2500 0.2500 0.8834
O4 O 0.2500 0.5583 0.5591
```

* electronic total energy: -101.0 eV per formula unit

No. 7
Material: LiMoAs2Pb
Method: DFT, GGA-PBEsol
State: optimized geometry

CIF file:
```
data_LiMoAs2Pb
_chemical_formula_sum 'Li1 Mo1 As2 Pb1'
_cell_length_a 4.4617
_cell_length_b 4.4617
_cell_length_c 4.7442
_cell_angle_alpha 90.00
_cell_angle_beta 90.00
_cell_angle_gamma 90.00
_symmetry_space_group_name_H-M 'P 4/m m m'
_symmetry_Int_Tables_number 123
_symmetry_space_group_name_Hall '-P 4 2'
loop_
_atom_site_label
_atom_site_type_symbol
_atom_site_fract_x
_atom_site_fract_y
_atom_site_fract_z
Li1 Li 0.0000 0.0000 0.0000
Mo1 Mo 0.0000 0.0000 0.5000
As1 As 0.0000 0.5000 0.0000
Pb1 Pb 0.5000 0.5000 0.5000
```

* energy relative to the elements: 0.796 eV/atom
* electronic total energy: -24.0 eV per formula unit

No. 8
Material: LiTeAsN2
Method: DFT, GGA-PBEsol
State: optimized geometry

CIF file:
```
data_LiTeAsN2
_chemical_formula_sum 'Li1 Te1 As1 N2'
_cell_length_a 3.9830
_cell_length_b 3.9830
_cell_length_c 4.8238
_cell_angle_alpha 90.00
_cell_angle_beta 90.00
_cell_angle_gamma 90.00
_symmetry_space_group_name_H-M 'P 4/m m m'
_symmetry_Int_Tables_number 123
_symmetry_space_group_name_Hall '-P 4 2'
loop_
_atom_site_label
_atom_site_type_symbol
_atom_site_fract_x
_atom_site_fract_y
_atom_site_fract_z
Li1 Li 0.0000 0.0000 0.0000
Te1 Te 0.0000 0.0000 0.5000
As1 As 0.5000 0.5000 0.5000
N1 N 0.0000 0.5000 0.0000
```

* electronic total energy: -19.4 eV per formula unit

No. 9
Material: Na2LiAs2
Method: DFT, GGA-PBEsol
State: optimized geometry

CIF file:
```
data_Na2LiAs2
_chemical_formula_sum 'Na4 Li2 As4'
_cell_length_a 6.9064
_cell_length_b 6.9064
_cell_length_c 4.4788
_cell_angle_alpha 90.00
_cell_angle_beta 90.00
_cell_angle_gamma 90.00
_symmetry_space_group_name_H-M 'P 4/m b m'
_symmetry_Int_Tables_number 127
_symmetry_space_group_name_Hall '-P 4 2ab'
loop_
_atom_site_label
_atom_site_type_symbol
_atom_site_fract_x
_atom_site_fract_y
_atom_site_fract_z
Na1 Na 0.1722 0.3278 0.0000
Li1 Li 0.0000 0.0000 0.5000
As1 As 0.1243 0.6243 0.5000
```

* energy relative to the elements: -0.413 eV/atom
* electronic total energy: -17.0 eV per formula unit

No. 10
Material: NaLi3As
Method: DFT, GGA-PBEsol
State: optimized geometry

CIF file:
```
data_NaLi3As
_chemical_formula_sum 'Na1 Li3 As1'
_cell_length_a 4.8773
_cell_length_b 4.8773
_cell_length_c 4.8773
_cell_angle_alpha 90.00
_cell_angle_beta 90.00
_cell_angle_gamma 90.00
_symmetry_space_group_name_H-M 'P m -3 m'
_symmetry_Int_Tables_number 221
_symmetry_space_group_name_Hall '-P 4 2 3'
loop_
_atom_site_label
_atom_site_type_symbol
_atom_site_fract_x
_atom_site_fract_y
_atom_site_fract_z
Na1 Na 0.0000 0.0000 0.0000
Li1 Li 0.0000 0.5000 0.5000
As1 As 0.5000 0.5000 0.5000
```

* energy relative to the elements: -0.356 eV/atom
* electronic total energy: -14.2 eV per formula unit

No. 11
Material: Na2LiAsPd
Method: DFT, GGA-PBEsol
State: optimized geometry

CIF file:
```
data_Na2LiAsPd
_chemical_formula_sum 'Na2 Li1 As1 Pd1'
_cell_length_a 5.3618
_cell_length_b 5.3618
_cell_length_c 4.6553
_cell_angle_alpha 90.00
_cell_angle_beta 90.00
_cell_angle_gamma 90.00
_symmetry_space_group_name_H-M 'P 4/m m m'
_symmetry_Int_Tables_number 123
_symmetry_space_group_name_Hall '-P 4 2'
loop_
_atom_site_label
_atom_site_type_symbol
_atom_site_fract_x
_atom_site_fract_y
_atom_site_fract_z
Na1 Na 0.0000 0.5000 0.0000
Li1 Li 0.0000 0.0000 0.5000
As1 As 0.0000 0.0000 0.0000
Pd1 Pd 0.5000 0.5000 0.5000
```

* energy relative to the elements: 0.276 eV/atom
* electronic total energy: -14.4 eV per formula unit

No. 12
Material: NaLiAsSe2
Method: DFT, GGA-PBEsol
State: optimized geometry

CIF file:
```
data_NaLiAsSe2
_chemical_formula_sum 'Na1 Li1 As1 Se2'
_cell_length_a 4.8311
_cell_length_b 4.8311
_cell_length_c 4.4746
_cell_angle_alpha 90.00
_cell_angle_beta 90.00
_cell_angle_gamma 90.00
_symmetry_space_group_name_H-M 'P 4/m m m'
_symmetry_Int_Tables_number 123
_symmetry_space_group_name_Hall '-P 4 2'
loop_
_atom_site_label
_atom_site_type_symbol
_atom_site_fract_x
_atom_site_fract_y
_atom_site_fract_z
Na1 Na 0.0000 0.0000 0.0000
Li1 Li 0.5000 0.5000 0.5000
As1 As 0.5000 0.5000 0.0000
Se1 Se 0.0000 0.5000 0.5000
```

* electronic total energy: -16.5 eV per formula unit

No. 13
Material: Li2NbAs2
Method: DFT, GGA-PBEsol
State: optimized geometry

CIF file:
```
data_Li2NbAs2
_chemical_formula_sum 'Li4 Nb2 As4'
_cell_length_a 3.3799
_cell_length_b 3.3799
_cell_length_c 13.2182
_cell_angle_alpha 90.00
_cell_angle_beta 90.00
_cell_angle_gamma 90.00
_symmetry_space_group_name_H-M 'I 4/m m m'
_symmetry_Int_Tables_number 139
_symmetry_space_group_name_Hall '-I 4 2'
loop_
_atom_site_label
_atom_site_type_symbol
_atom_site_fract_x
_atom_site_fract_y
_atom_site_fract_z
Li1 Li 0.0000 0.5000 0.2500
Nb1 Nb 0.0000 0.0000 0.0000
As1 As 0.0000 0.0000 0.3931
```

* energy relative to the elements: -0.421 eV/atom
* electronic total energy: -27.1 eV per formula unit

No. 14
Material: LiNbAs3
Method: DFT, GGA-PBEsol
State: optimized geometry

CIF file:
```
data_LiNbAs3
_chemical_formula_sum 'Li1 Nb1 As3'
_cell_length_a 4.9718
_cell_length_b 4.9718
_cell_length_c 4.9718
_cell_angle_alpha 90.00
_cell_angle_beta 90.00
_cell_angle_gamma 90.00
_symmetry_space_group_name_H-M 'P m -3 m'
_symmetry_Int_Tables_number 221
_symmetry_space_group_name_Hall '-P 4 2 3'
loop_
_atom_site_label
_atom_site_type_symbol
_atom_site_fract_x
_atom_site_fract_y
_atom_site_fract_z
Li1 Li 0.0000 0.0000 0.0000
Nb1 Nb 0.5000 0.5000 0.5000
As1 As 0.0000 0.5000 0.5000
```

* energy relative to the elements: 0.071 eV/atom
* electronic total energy: -27.8 eV per formula unit

No. 15
Material: Li2NbAsW
Method: DFT, GGA-PBEsol
State: optimized geometry

CIF file:
```
data_Li2NbAsW
_chemical_formula_sum 'Li2 Nb1 As1 W1'
_cell_length_a 4.3836
_cell_length_b 4.3836
_cell_length_c 4.7574
_cell_angle_alpha 90.00
_cell_angle_beta 90.00
_cell_angle_gamma 90.00
_symmetry_space_group_name_H-M 'P 4/m m m'
_symmetry_Int_Tables_number 123
_symmetry_space_group_name_Hall '-P 4 2'
loop_
_atom_site_label
_atom_site_type_symbol
_atom_site_fract_x
_atom_site_fract_y
_atom_site_fract_z
Li1 Li 0.0000 0.5000 0.0000
Nb1 Nb 0.0000 0.0000 0.0000
As1 As 0.0000 0.0000 0.5000
W1 W 0.5000 0.5000 0.5000
```

* energy relative to the elements: 1.763 eV/atom
* electronic total energy: -24.9 eV per formula unit

No. 16
Material: LiNiAs
Method: DFT, GGA-PBEsol
State: optimized geometry

CIF file:
```
data_LiNiAs
_chemical_formula_sum 'Li2 Ni2 As2'
_cell_length_a 3.1106
_cell_length_b 3.1106
_cell_length_c 7.9999
_cell_angle_alpha 90.00
_cell_angle_beta 90.00
_cell_angle_gamma 90.00
_symmetry_space_group_name_H-M 'I 4 m m'
_symmetry_Int_Tables_number 107
_symmetry_space_group_name_Hall 'I 4 -2'
loop_
_atom_site_label
_atom_site_type_symbol
_atom_site_fract_x
_atom_site_fract_y
_atom_site_fract_z
Li1 Li 0.0000 0.0000 0.0000
Ni1 Ni 0.0000 0.0000 0.6884
As1 As 0.0000 0.0000 0.3127
```

* energy relative to the elements: -0.347 eV/atom
* electronic total energy: -14.3 eV per formula unit

No. 17
Material: Li5Ni9As7
Method: DFT, GGA-PBEsol
State: optimized geometry

CIF file:
```
data_Li5Ni9As7
_chemical_formula_sum 'Li5 Ni9 As7'
_cell_length_a 9.2514
_cell_length_b 9.2514
_cell_length_c 3.7473
_cell_angle_alpha 90.00
_cell_angle_beta 90.00
_cell_angle_gamma 120.00
_symmetry_space_group_name_H-M 'P -6'
_symmetry_Int_Tables_number 174
loop_
_symmetry_equiv_pos_as_xyz
'x,y,z'
'-x+y,-x,-z'
'-y,x-y,z'
'x,y,-z'
'-x+y,-x,z'
'-y,x-y,-z'
loop_
_atom_site_label
_atom_site_type_symbol
_atom_site_fract_x
_atom_site_fract_y
_atom_site_fract_z
Li1 Li 0.0000 0.0000 0.0000
Li2 Li 0.2199 0.7686 0.0000
Li3 Li 0.6667 0.3333 0.5000
Ni1 Ni 0.0422 0.4949 0.5000
Ni2 Ni 0.2878 0.2396 0.5000
Ni3 Ni 0.3733 0.0984 0.0000
As1 As 0.0389 0.2428 0.5000
As2 As 0.3333 0.6667 0.5000
As3 As 0.4639 0.3794 0.0000
```

* energy relative to the elements: -0.502 eV/atom
* electronic total energy: -111.5 eV per formula unit

No. 18
Material: LiNiAs
Method: DFT, GGA-PBEsol
State: optimized geometry

CIF file:
```
data_LiNiAs
_chemical_formula_sum 'Li1 Ni1 As1'
_cell_length_a 4.0015
_cell_length_b 4.0015
_cell_length_c 2.8252
_cell_angle_alpha 90.00
_cell_angle_beta 90.00
_cell_angle_gamma 120.00
_symmetry_space_group_name_H-M 'P -6 m 2'
_symmetry_Int_Tables_number 187
_symmetry_space_group_name_Hall 'P -6 2'
loop_
_atom_site_label
_atom_site_type_symbol
_atom_site_fract_x
_atom_site_fract_y
_atom_site_fract_z
Li1 Li 0.0000 0.0000 0.0000
Ni1 Ni 0.6667 0.3333 0.5000
As1 As 0.3333 0.6667 0.5000
```

* energy relative to the elements: -0.415 eV/atom
* electronic total energy: -14.5 eV per formula unit

No. 19
Material: LiNiAsO4
Method: DFT, GGA-PBEsol
State: optimized geometry

CIF file:
```
data_LiNiAsO4
_chemical_formula_sum 'Li4 Ni4 As4 O16'
_cell_length_a 5.6816
_cell_length_b 5.8229
_cell_length_c 8.0934
_cell_angle_alpha 90.00
_cell_angle_beta 90.00
_cell_angle_gamma 90.00
_symmetry_space_group_name_H-M 'I m m a'
_symmetry_Int_Tables_number 74
_symmetry_space_group_name_Hall '-I 2b 2'
loop_
_atom_site_label
_atom_site_type_symbol
_atom_site_fract_x
_atom_site_fract_y
_atom_site_fract_z
Li1 Li 0.2500 0.2500 0.2500
Ni1 Ni 0.0000 0.0000 0.0000
As1 As 0.0000 0.2500 0.6331
O1 O 0.0000 0.0048 0.7507
O2 O 0.2477 0.2500 0.5037
```

* electronic total energy: -43.4 eV per formula unit

No. 20
Material: LiNiAsO4
Method: DFT, GGA-PBEsol
State: optimized geometry

CIF file:
```
data_LiNiAsO4
_chemical_formula_sum 'Li4 Ni4 As4 O16'
_cell_length_a 10.2365
_cell_length_b 5.8357
_cell_length_c 4.8527
_cell_angle_alpha 90.00
_cell_angle_beta 90.00
_cell_angle_gamma 90.00
_symmetry_space_group_name_H-M 'P n m a'
_symmetry_Int_Tables_number 62
loop_
_symmetry_equiv_pos_as_xyz
'x,y,z'
'-x,-y,-z'
'-x+1/2,-y,z+1/2'
'x+1/2,y,-z+1/2'
'x+1/2,-y+1/2,-z+1/2'
'-x+1/2,y+1/2,z+1/2'
'-x,y+1/2,-z'
'x,-y+1/2,z'
loop_
_atom_site_label
_atom_site_type_symbol
_atom_site_fract_x
_atom_site_fract_y
_atom_site_fract_z
Li1 Li 0.0000 0.0000 0.0000
Ni1 Ni 0.2302 0.2500 0.4968
As1 As 0.0944 0.7500 0.4398
O1 O 0.0592 0.2500 0.7041
O2 O 0.0953 0.7500 0.7901
O3 O 0.1715 0.5231 0.2724
```

* electronic total energy: -43.3 eV per formula unit